(1)
Entry from Alexandria via LeMat-Bulk: a relaxed Li2Be2ZnCu5 crystal (PBE).

Cell: 3.272 8.677 8.677 Å, 90.00 90.00 90.00°
Atoms (fractional coordinates):
Be 0.000 0.882 0.382
Cu 0.500 0.500 0.000
Be 0.000 0.118 0.618
Zn 0.000 0.000 0.000
Li 0.000 0.676 0.176
Zn 0.000 0.500 0.500
Li 0.000 0.324 0.824
Cu 0.500 0.711 0.429
Cu 0.500 0.289 0.571
Cu 0.500 0.211 0.071
Li 0.000 0.824 0.676
Li 0.000 0.176 0.324
Cu 0.500 0.071 0.789
Cu 0.500 0.000 0.500
Cu 0.500 0.429 0.289
Cu 0.500 0.789 0.929
Be 0.000 0.382 0.118
Be 0.000 0.618 0.882
Cu 0.500 0.571 0.711
Cu 0.500 0.929 0.211

Fermi-level density of states, states/eV/cell: 6.18
Total energy, eV/atom: -3.321
Calculated formation energy, meV/atom: -17.2
Volume, Å³/cell: 246.4
Space group: P4/mbm (127)

***

(2)
Entry from Alexandria via LeMat-Bulk: a relaxed LiGaFeRe crystal (PBE).

Cell: 2.674 3.997 5.152 Å, 90.00 104.40 90.00°
Atoms (fractional coordinates):
Ga 0.358 0.000 0.992
Re 0.627 0.000 0.510
Li 0.957 0.500 0.184
Fe 0.207 0.500 0.687

Fermi-level density of states, states/eV/cell: 2.43
Total energy, eV/atom: -6.381
Calculated formation energy, meV/atom: 82.1
Energy above the most stable polymorph in this dataset, meV/atom: 74.9
Volume, Å³/cell: 53.3
Space group: Pm (6)

***

(3)
Entry from Alexandria via LeMat-Bulk: a relaxed Mg5InRh crystal (PBE).

Cell: 4.445 4.445 7.561 Å, 90.00 90.00 90.01°
Atoms (fractional coordinates):
In 0.000 0.000 0.000
Mg 0.000 0.500 0.742
Mg 0.500 0.000 0.258
Mg 0.000 0.500 0.258
Mg 0.500 0.000 0.742
Mg 0.000 0.000 0.500
Rh 0.500 0.500 0.500

Fermi-level density of states, states/eV/cell: 4.37
Total energy, eV/atom: -2.713
Calculated formation energy, meV/atom: -132.2
Energy above the most stable polymorph in this dataset, meV/atom: 0.0
Volume, Å³/cell: 149.4
Space group: P4/mmm (123)

***

(4)
Entry from Alexandria via LeMat-Bulk: a relaxed DyHoTl6 crystal (PBE).

Cell: 4.762 4.762 9.526 Å, 90.00 90.00 90.00°
Atoms (fractional coordinates):
Tl 0.500 0.500 0.000
Ho 0.000 0.000 0.500
Tl 0.500 0.000 0.750
Tl 0.000 0.500 0.250
Tl 0.000 0.500 0.750
Tl 0.500 0.500 0.500
Dy 0.000 0.000 0.000
Tl 0.500 0.000 0.250

Fermi-level density of states, states/eV/cell: 1.78
Total energy, eV/atom: -3.149
Calculated formation energy, meV/atom: -226.3
Volume, Å³/cell: 216.0
Space group: P4/mmm (123)

***

(5)
Entry from Alexandria via LeMat-Bulk: a relaxed Mn2NiPt crystal (PBE).

Cell: 4.768 4.768 4.771 Å, 134.35 134.34 66.48°
Atoms (fractional coordinates):
Ni 0.500 0.500 0.000
Mn 0.000 0.000 0.000
Pt 0.750 0.250 0.500
Mn 0.250 0.750 0.500

Fermi-level density of states, states/eV/cell: 3.21
Total energy, eV/atom: -7.674
Calculated formation energy, meV/atom: -133.3
Volume, Å³/cell: 54.6
Space group: F222 (22)

***

(6)
Entry from Alexandria via LeMat-Bulk: a relaxed CsKSn crystal (PBE).

Cell: 3.865 11.126 12.803 Å, 90.00 90.00 90.00°
Atoms (fractional coordinates):
Sn 0.763 0.270 0.632
Sn 0.763 0.770 0.868
Cs 0.763 0.047 0.354
Sn 0.263 0.230 0.132
K 0.260 0.383 0.405
Cs 0.763 0.547 0.146
Sn 0.263 0.730 0.368
K 0.760 0.117 0.905
Cs 0.263 0.453 0.854
K 0.760 0.617 0.595
K 0.260 0.883 0.095
Cs 0.263 0.953 0.646

Fermi-level density of states, states/eV/cell: 14.62
Total energy, eV/atom: -1.969
Calculated formation energy, meV/atom: 15.8
Energy above the most stable polymorph in this dataset, meV/atom: 104.5
Volume, Å³/cell: 550.6
Space group: Pna2_1 (33)

***

Repeat the sixth record exactly.
Entry from Alexandria via LeMat-Bulk: a relaxed CsKSn crystal (PBE).

Cell: 3.865 11.126 12.803 Å, 90.00 90.00 90.00°
Atoms (fractional coordinates):
Sn 0.763 0.270 0.632
Sn 0.763 0.770 0.868
Cs 0.763 0.047 0.354
Sn 0.263 0.230 0.132
K 0.260 0.383 0.405
Cs 0.763 0.547 0.146
Sn 0.263 0.730 0.368
K 0.760 0.117 0.905
Cs 0.263 0.453 0.854
K 0.760 0.617 0.595
K 0.260 0.883 0.095
Cs 0.263 0.953 0.646

Fermi-level density of states, states/eV/cell: 14.62
Total energy, eV/atom: -1.969
Calculated formation energy, meV/atom: 15.8
Energy above the most stable polymorph in this dataset, meV/atom: 104.5
Volume, Å³/cell: 550.6
Space group: Pna2_1 (33)